(1)
Computed, not measured: an optimized crystal structure of SrTaIn2 at the PBE level of DFT.

Cell: 3.690 3.690 7.470 Å, 90.00 90.00 90.00°
Each line ends with the local moment (μB).
Atoms (fractional coordinates):
In 0.000 0.000 0.950  0.01
In 0.000 0.000 0.550  0.01
Sr 0.500 0.500 0.250  0.02
Ta 0.500 0.500 0.750  0.41

## Properties
As for the crystal system: tetragonal. The value obtained for the formation energy is 0.180 eV/atom. As for the space group: P4/mmm (123). For the raw total energy, the calculation gives -4.573 eV/atom. The mass density is 8.13 g/cm3.


(2)
Computed, not measured: an optimized crystal structure of Pr3Mg7Cu4 at the PBE level of DFT.

Cell: 4.419 8.461 9.258 Å, 71.10 76.19 74.86°
Atoms (fractional coordinates):
Pr 0.307 0.179 0.208
Pr 0.693 0.821 0.792
Pr 0.000 0.500 0.500
Mg 0.322 0.840 0.516
Mg 0.488 0.229 0.795
Mg 0.834 0.402 0.930
Mg 0.678 0.160 0.484
Mg 0.166 0.598 0.070
Mg 0.000 0.000 0.000
Mg 0.512 0.771 0.205
Cu 0.665 0.437 0.233
Cu 0.335 0.563 0.767
Cu 0.886 0.901 0.327
Cu 0.114 0.099 0.673

## Properties
As for the crystal system: monoclinic. The value obtained for the formation energy is -0.122 eV/atom. As for the space group: C2/m (12). For the raw total energy, the calculation gives -3.114 eV/atom. The mass density is 4.51 g/cm3.